No. 1
Here is crystalline MgTaRe2 at its relaxed geometry from Alexandria via LeMat-Bulk. Energies are from GGA-PBEsol.

Lattice parameters (Å, degrees): 3.1450 4.5391 8.8514 90.00 90.00 90.00
Space group Immm (No. 71)
Asymmetric unit:
1 Mg 0.0000 0.0000 0.0000 (multiplicity 2)
2 Ta 0.0000 0.0000 0.5000 (multiplicity 2)
3 Re 0.0000 0.5000 0.2391 (multiplicity 4)

Calculated values
The value obtained for the calculated total energy is -10.049 eV per atom. For the energy relative to the elements, the calculation gives 184 meV per atom. As for the calculated volume: 15.8 Å³ per atom.

=====

No. 2
Here is crystalline MgTaRe2 at its relaxed geometry from Alexandria via LeMat-Bulk. Energies are from GGA-PBEsol.

Lattice parameters (Å, degrees): 5.5721 8.9003 2.6901 90.00 109.97 90.00
Space group C2/m (No. 12)
Asymmetric unit:
1 Mg 0.0000 0.0000 0.0000 (multiplicity 2)
2 Ta 0.0000 0.5000 0.0000 (multiplicity 2)
3 Re 0.2500 0.2500 0.5000 (multiplicity 4)

Calculated values
The value obtained for the calculated total energy is -10.053 eV per atom. For the energy relative to the elements, the calculation gives 180 meV per atom. As for the calculated volume: 15.7 Å³ per atom.

=====

No. 3
Here is crystalline MgTa2Re at its relaxed geometry from Alexandria via LeMat-Bulk. Energies are from GGA-PBEsol.

Lattice parameters (Å, degrees): 3.1884 3.1884 6.7663 90.00 90.00 90.00
Space group P4/mmm (No. 123)
Asymmetric unit:
1 Mg 0.0000 0.0000 0.0000 (multiplicity 1)
2 Ta 0.5000 0.5000 0.2751 (multiplicity 2)
3 Re 0.0000 0.0000 0.5000 (multiplicity 1)

Calculated values
The value obtained for the calculated total energy is -9.911 eV per atom. For the energy relative to the elements, the calculation gives 127 meV per atom. As for the calculated volume: 17.2 Å³ per atom.

=====

No. 4
Here is crystalline MgTaRe3 at its relaxed geometry from Alexandria via LeMat-Bulk. Energies are from GGA-PBEsol.

Lattice parameters (Å, degrees): 4.7438 4.7438 4.7438 90.00 90.00 90.00
Space group Pm-3m (No. 221)
Asymmetric unit:
1 Mg 0.0000 0.0000 0.0000 (multiplicity 1)
2 Ta 0.5000 0.5000 0.5000 (multiplicity 1)
3 Re 0.0000 0.5000 0.5000 (multiplicity 3)

Calculated values
The value obtained for the calculated total energy is -8.670 eV per atom. For the energy relative to the elements, the calculation gives 2183 meV per atom. As for the calculated volume: 21.4 Å³ per atom.

=====

No. 5
Here is crystalline MgRe2Tc at its relaxed geometry from Alexandria via LeMat-Bulk. Energies are from GGA-PBEsol.

Lattice parameters (Å, degrees): 6.1613 6.1613 6.1613 90.00 90.00 90.00
Space group F-43m (No. 216)
Asymmetric unit:
1 Mg 0.0000 0.0000 0.0000 (multiplicity 4)
2 Re 0.0000 0.0000 0.5000 (multiplicity 4)
3 Re 0.2500 0.2500 0.7500 (multiplicity 4)
4 Tc 0.2500 0.2500 0.2500 (multiplicity 4)

Calculated values
The value obtained for the calculated total energy is -9.680 eV per atom. For the energy relative to the elements, the calculation gives 232 meV per atom. As for the calculated volume: 14.6 Å³ per atom.

=====

No. 6
Here is crystalline MgRe2Tc at its relaxed geometry from Alexandria via LeMat-Bulk. Energies are from GGA-PBEsol.

Lattice parameters (Å, degrees): 2.9754 4.4628 9.0963 90.00 90.00 90.00
Space group Cmm2 (No. 35)
Asymmetric unit:
1 Mg 0.0000 0.0000 0.0000 (multiplicity 2)
2 Re 0.0000 0.0000 0.4956 (multiplicity 2)
3 Re 0.0000 0.5000 0.7388 (multiplicity 2)
4 Tc 0.0000 0.5000 0.2571 (multiplicity 2)

Calculated values
The value obtained for the calculated total energy is -9.621 eV per atom. For the energy relative to the elements, the calculation gives 291 meV per atom. As for the calculated volume: 15.1 Å³ per atom.

=====

Repeat the sixth record exactly.
Here is crystalline MgRe2Tc at its relaxed geometry from Alexandria via LeMat-Bulk. Energies are from GGA-PBEsol.

Lattice parameters (Å, degrees): 2.9754 4.4628 9.0963 90.00 90.00 90.00
Space group Cmm2 (No. 35)
Asymmetric unit:
1 Mg 0.0000 0.0000 0.0000 (multiplicity 2)
2 Re 0.0000 0.0000 0.4956 (multiplicity 2)
3 Re 0.0000 0.5000 0.7388 (multiplicity 2)
4 Tc 0.0000 0.5000 0.2571 (multiplicity 2)

Calculated values
The value obtained for the calculated total energy is -9.621 eV per atom. For the energy relative to the elements, the calculation gives 291 meV per atom. As for the calculated volume: 15.1 Å³ per atom.